VASP calculation (PBE-GGA) on a relaxed structure of Rb3CuMo.

Cell: 6.554 6.554 6.554 Å, 90.00 90.00 90.00°
Positions (direct):
Rb  0.000  0.500  0.000
Rb  0.000  0.000  0.500
Rb  0.500  0.000  0.000
Cu  0.000  0.000  0.000
Mo  0.500  0.500  0.500

Output
Size of the total moment: 5.96 μB per cell
Raw total energy: -2.35 eV/atom
E above lowest polymorph: 0.0 meV/atom

---

VASP calculation (PBE-GGA) on a relaxed structure of RbCu2Mo.

Cell: 5.111 5.111 9.675 Å, 74.68 74.68 90.00°
Positions (direct):
Rb  0.250  0.750  0.500
Rb  0.500  0.500  0.000
Mo  0.000  0.000  0.000
Mo  0.750  0.250  0.500
Cu  0.375  0.125  0.750
Cu  0.875  0.625  0.250
Cu  0.875  0.125  0.750
Cu  0.875  0.125  0.250

Output
Size of the total moment: 8.72 μB per cell
Raw total energy: -3.76 eV/atom
E above lowest polymorph: 0.0 meV/atom

---

VASP calculation (PBE-GGA) on a relaxed structure of RbCuMo2.

Cell: 4.627 4.627 4.627 Å, 60.00 60.00 60.00°
Positions (direct):
Rb  0.500  0.500  0.500
Mo  0.750  0.750  0.750
Mo  0.250  0.250  0.250
Cu  0.000  0.000  0.000

Output
Size of the total moment: 0.00 μB per cell
Raw total energy: -4.65 eV/atom
E above lowest polymorph: 375.2 meV/atom

---

VASP calculation (PBE-GGA) on a relaxed structure of Rb2CuMoRu.

Cell: 6.818 4.919 6.818 Å, 90.00 90.00 90.00°
Positions (direct):
Mo  0.000  0.000  0.000
Cu  0.000  0.500  0.000
Rb  0.500  0.000  0.000
Rb  0.000  0.000  0.500
Ru  0.500  0.500  0.500

Output
Size of the total moment: 7.79 μB per cell
Raw total energy: -3.10 eV/atom

---

VASP calculation (PBE-GGA) on a relaxed structure of RbCuMoS4.

Cell: 7.533 7.533 7.592 Å, 90.00 90.00 105.75°
Positions (direct):
S  0.220  0.780  0.496
S  0.813  0.795  0.250
S  0.780  0.220  0.504
S  0.780  0.220  0.996
S  0.187  0.205  0.750
S  0.795  0.813  0.750
S  0.205  0.187  0.250
S  0.220  0.780  0.004
Cu  0.109  0.891  0.750
Cu  0.891  0.109  0.250
Rb  0.500  0.500  0.500
Rb  0.500  0.500  0.000
Mo  0.120  0.880  0.250
Mo  0.880  0.120  0.750

Output
Size of the total moment: 0.00 μB per cell
Uncorrected formation energy: -619 meV/atom
Raw total energy: -5.25 eV/atom

---

VASP calculation (PBE-GGA) on a relaxed structure of RbCuMo2S8.

Cell: 6.079 6.079 10.376 Å, 72.96 72.96 60.00°
Positions (direct):
Mo  0.741  0.741  0.778
Mo  0.259  0.259  0.222
S  0.815  0.815  0.554
S  0.722  0.056  0.852
S  0.631  0.278  0.148
S  0.278  0.944  0.148
S  0.185  0.185  0.446
S  0.056  0.369  0.852
S  0.369  0.722  0.852
S  0.944  0.631  0.148
Rb  0.500  0.500  0.500
Cu  0.000  0.000  0.000

Output
Size of the total moment: 0.00 μB per cell
Uncorrected formation energy: -345 meV/atom
Raw total energy: -5.32 eV/atom

---

VASP calculation (PBE-GGA) on a relaxed structure of Rb2CuMoS4.

Cell: 5.541 7.466 12.294 Å, 85.20 76.98 68.22°
Positions (direct):
Rb  0.572  0.500  0.856
Rb  0.822  0.000  0.356
Rb  0.928  0.500  0.144
Rb  0.178  0.000  0.644
Mo  0.500  0.000  0.000
Mo  0.250  0.500  0.500
Cu  0.750  0.500  0.500
Cu  0.000  0.000  0.000
S  0.155  0.311  0.394
S  0.298  0.811  0.106
S  0.452  0.689  0.394
S  0.216  0.189  0.894
S  0.595  0.189  0.106
S  0.534  0.311  0.606
S  0.891  0.811  0.894
S  0.859  0.689  0.606

Output
Size of the total moment: 2.03 μB per cell
Uncorrected formation energy: -826 meV/atom
Raw total energy: -5.00 eV/atom

---

VASP calculation (PBE-GGA) on a relaxed structure of Rb2CuMoSe4.

Cell: 5.732 7.718 12.712 Å, 85.20 76.97 68.20°
Positions (direct):
Rb  0.930  0.500  0.140
Rb  0.820  0.000  0.360
Rb  0.180  0.000  0.640
Rb  0.570  0.500  0.860
Se  0.159  0.307  0.389
Se  0.591  0.193  0.111
Se  0.215  0.193  0.889
Se  0.854  0.693  0.611
Se  0.298  0.807  0.111
Se  0.535  0.307  0.611
Se  0.896  0.807  0.889
Se  0.452  0.693  0.389
Mo  0.250  0.500  0.500
Mo  0.500  0.000  0.000
Cu  0.750  0.500  0.500
Cu  0.000  0.000  0.000

Output
Size of the total moment: 2.03 μB per cell
Uncorrected formation energy: -728 meV/atom
Raw total energy: -4.58 eV/atom

---

VASP calculation (PBE-GGA) on a relaxed structure of Rb2CuTcMo.

Cell: 6.918 4.572 6.918 Å, 90.00 90.00 90.00°
Positions (direct):
Mo  0.000  0.000  0.000
Cu  0.500  0.500  0.500
Tc  0.000  0.500  0.000
Rb  0.000  0.000  0.500
Rb  0.500  0.000  0.000

Output
Size of the total moment: 0.60 μB per cell
Raw total energy: -3.84 eV/atom

---

VASP calculation (PBE-GGA) on a relaxed structure of Cu2ReMo.

Cell: 4.225 2.620 5.062 Å, 81.46 90.00 90.00°
Positions (direct):
Cu  0.000  0.162  0.005
Cu  0.500  0.086  0.242
Re  0.500  0.735  0.759
Mo  0.000  0.518  0.494

Output
Size of the total moment: 0.00 μB per cell
Raw total energy: -7.68 eV/atom
E above lowest polymorph: 0.0 meV/atom

---

VASP calculation (PBE-GGA) on a relaxed structure of Cu2ReMo.

Cell: 9.087 9.087 9.087 Å, 17.02 17.02 17.02°
Positions (direct):
Mo  0.250  0.250  0.250
Cu  0.499  0.499  0.499
Cu  0.001  0.001  0.001
Re  0.750  0.750  0.750

Output
Size of the total moment: 0.01 μB per cell
Raw total energy: -7.51 eV/atom
E above lowest polymorph: 171.1 meV/atom

---

VASP calculation (PBE-GGA) on a relaxed structure of CuReMo.

Cell: 4.719 4.719 4.719 Å, 139.73 139.73 58.26°
Positions (direct):
Cu  0.000  0.000  0.000
Re  0.669  0.669  0.000
Mo  0.331  0.331  0.000

Output
Size of the total moment: 0.00 μB per cell
Raw total energy: -8.91 eV/atom
E above lowest polymorph: 75.6 meV/atom

---

VASP calculation (PBE-GGA) on a relaxed structure of Cu2ReMo.

Cell: 4.751 4.751 4.726 Å, 81.32 81.32 32.14°
Positions (direct):
Re  0.250  0.250  0.250
Mo  0.750  0.750  0.750
Cu  0.502  0.502  0.497
Cu  0.998  0.998  0.003

Output
Size of the total moment: 0.00 μB per cell
Raw total energy: -7.56 eV/atom
E above lowest polymorph: 121.2 meV/atom